Record 1
A crystal of Sr2ZnHgSb relaxed with PBEsol, computed with SCAN.

Calculated values
DOS(E_F) = 0.6795 states/eV per atom
space-group type = P4/mmm (123)
raw formation energy = -334 meV per atom
spin magnetization = 0.00 Bohr magnetons per cell
crystal system = tetragonal
E_tot = -33.033 eV/atom

CIF file:
```
data_Sr2ZnHgSb
_chemical_formula_sum 'Sr2 Zn1 Hg1 Sb1'
_symmetry_space_group_name_H-M 'P 1'
_symmetry_Int_Tables_number 1
_cell_length_a 4.834
_cell_length_b 5.954
_cell_length_c 5.954
_cell_angle_alpha 90.00
_cell_angle_beta 90.00
_cell_angle_gamma 90.00
loop_
_symmetry_equiv_pos_as_xyz
'x,y,z'
loop_
_atom_site_label
_atom_site_type_symbol
_atom_site_fract_x
_atom_site_fract_y
_atom_site_fract_z
Sb1 Sb 0.500 0.500 0.500
Hg1 Hg 0.000 0.000 0.000
Sr1 Sr 0.000 0.000 0.500
Sr2 Sr 0.000 0.500 0.000
Zn1 Zn 0.500 0.000 0.000
```

=====

Record 2
A crystal of Ta2HgSb relaxed with PBEsol, computed with SCAN.

Calculated values
DOS(E_F) = 0.5712 states/eV per atom
space-group type = I4/mmm (139)
raw formation energy = 421 meV per atom
spin magnetization = 0.00 Bohr magnetons per cell
crystal system = tetragonal
E_tot = -59.227 eV/atom
energy relative to the lowest polymorph listed for this composition = 135 meV/atom

CIF file:
```
data_Ta2HgSb
_chemical_formula_sum 'Ta2 Hg1 Sb1'
_symmetry_space_group_name_H-M 'P 1'
_symmetry_Int_Tables_number 1
_cell_length_a 4.505
_cell_length_b 4.896
_cell_length_c 4.505
_cell_angle_alpha 62.61
_cell_angle_beta 90.00
_cell_angle_gamma 117.39
loop_
_symmetry_equiv_pos_as_xyz
'x,y,z'
loop_
_atom_site_label
_atom_site_type_symbol
_atom_site_fract_x
_atom_site_fract_y
_atom_site_fract_z
Ta1 Ta 0.750 0.500 0.750
Ta2 Ta 0.250 0.500 0.250
Sb1 Sb 0.000 0.000 0.000
Hg1 Hg 0.500 0.000 0.500
```

=====

Record 3
A crystal of TaHgSb2 relaxed with PBEsol, computed with SCAN.

Calculated values
DOS(E_F) = 0.4728 states/eV per atom
space-group type = P4/mmm (123)
raw formation energy = 181 meV per atom
spin magnetization = 0.00 Bohr magnetons per cell
crystal system = tetragonal
E_tot = -52.136 eV/atom

CIF file:
```
data_TaHgSb2
_chemical_formula_sum 'Ta1 Hg1 Sb2'
_symmetry_space_group_name_H-M 'P 1'
_symmetry_Int_Tables_number 1
_cell_length_a 3.622
_cell_length_b 3.622
_cell_length_c 6.629
_cell_angle_alpha 90.00
_cell_angle_beta 90.02
_cell_angle_gamma 90.00
loop_
_symmetry_equiv_pos_as_xyz
'x,y,z'
loop_
_atom_site_label
_atom_site_type_symbol
_atom_site_fract_x
_atom_site_fract_y
_atom_site_fract_z
Sb1 Sb 0.000 0.000 0.277
Sb2 Sb 0.000 0.000 0.723
Ta1 Ta 0.500 0.500 0.500
Hg1 Hg 0.500 0.500 0.000
```

=====

Record 4
A crystal of TaHgSb2 relaxed with PBEsol, computed with SCAN.

Calculated values
DOS(E_F) = 0.7577 states/eV per atom
space-group type = P4/mmm (123)
raw formation energy = 549 meV per atom
spin magnetization = 0.00 Bohr magnetons per cell
crystal system = tetragonal
E_tot = -51.768 eV/atom

CIF file:
```
data_TaHgSb2
_chemical_formula_sum 'Ta1 Hg1 Sb2'
_symmetry_space_group_name_H-M 'P 1'
_symmetry_Int_Tables_number 1
_cell_length_a 3.578
_cell_length_b 4.882
_cell_length_c 4.882
_cell_angle_alpha 90.00
_cell_angle_beta 90.00
_cell_angle_gamma 90.00
loop_
_symmetry_equiv_pos_as_xyz
'x,y,z'
loop_
_atom_site_label
_atom_site_type_symbol
_atom_site_fract_x
_atom_site_fract_y
_atom_site_fract_z
Ta1 Ta 0.500 0.500 0.500
Hg1 Hg 0.500 0.000 0.000
Sb1 Sb 0.000 0.500 0.000
Sb2 Sb 0.000 0.000 0.500
```

=====

Record 5
A crystal of TaHgSb2 relaxed with PBEsol, computed with SCAN.

Calculated values
DOS(E_F) = 0.6098 states/eV per atom
space-group type = C2/m (12)
raw formation energy = 492 meV per atom
spin magnetization = 0.00 Bohr magnetons per cell
crystal system = monoclinic
E_tot = -51.826 eV/atom

CIF file:
```
data_TaHgSb2
_chemical_formula_sum 'Ta1 Hg1 Sb2'
_symmetry_space_group_name_H-M 'P 1'
_symmetry_Int_Tables_number 1
_cell_length_a 3.159
_cell_length_b 5.419
_cell_length_c 5.419
_cell_angle_alpha 77.32
_cell_angle_beta 80.64
_cell_angle_gamma 80.64
loop_
_symmetry_equiv_pos_as_xyz
'x,y,z'
loop_
_atom_site_label
_atom_site_type_symbol
_atom_site_fract_x
_atom_site_fract_y
_atom_site_fract_z
Sb1 Sb 0.000 0.000 0.500
Sb2 Sb 0.000 0.500 0.000
Hg1 Hg 0.500 0.000 0.000
Ta1 Ta 0.500 0.500 0.500
```

=====

Record 6
A crystal of Ta2HgSb relaxed with PBEsol, computed with SCAN.

Calculated values
DOS(E_F) = 0.5309 states/eV per atom
space-group type = P4/mmm (123)
raw formation energy = 355 meV per atom
spin magnetization = 0.00 Bohr magnetons per cell
crystal system = tetragonal
E_tot = -59.293 eV/atom
energy relative to the lowest polymorph listed for this composition = 69 meV/atom

CIF file:
```
data_Ta2HgSb
_chemical_formula_sum 'Ta2 Hg1 Sb1'
_symmetry_space_group_name_H-M 'P 1'
_symmetry_Int_Tables_number 1
_cell_length_a 3.254
_cell_length_b 3.254
_cell_length_c 7.122
_cell_angle_alpha 90.00
_cell_angle_beta 90.00
_cell_angle_gamma 90.00
loop_
_symmetry_equiv_pos_as_xyz
'x,y,z'
loop_
_atom_site_label
_atom_site_type_symbol
_atom_site_fract_x
_atom_site_fract_y
_atom_site_fract_z
Ta1 Ta 0.000 0.000 0.730
Ta2 Ta 0.000 0.000 0.270
Sb1 Sb 0.500 0.500 0.500
Hg1 Hg 0.500 0.500 0.000
```

=====

Record 7
A crystal of Ta2HgSb relaxed with PBEsol, computed with SCAN.

Calculated values
DOS(E_F) = 0.7393 states/eV per atom
space-group type = Cm (8)
raw formation energy = 336 meV per atom
spin magnetization = 0.00 Bohr magnetons per cell
crystal system = monoclinic
E_tot = -59.312 eV/atom
energy relative to the lowest polymorph listed for this composition = 50 meV/atom

CIF file:
```
data_Ta2HgSb
_chemical_formula_sum 'Ta2 Hg1 Sb1'
_symmetry_space_group_name_H-M 'P 1'
_symmetry_Int_Tables_number 1
_cell_length_a 2.998
_cell_length_b 5.064
_cell_length_c 5.440
_cell_angle_alpha 104.79
_cell_angle_beta 106.00
_cell_angle_gamma 90.00
loop_
_symmetry_equiv_pos_as_xyz
'x,y,z'
loop_
_atom_site_label
_atom_site_type_symbol
_atom_site_fract_x
_atom_site_fract_y
_atom_site_fract_z
Ta1 Ta 0.994 0.042 0.988
Ta2 Ta 0.257 0.704 0.515
Sb1 Sb 0.741 0.198 0.481
Hg1 Hg 0.508 0.556 0.016
```

=====

Record 8
A crystal of TaHgSb2 relaxed with PBEsol, computed with SCAN.

Calculated values
DOS(E_F) = 0.7332 states/eV per atom
space-group type = I4/mmm (139)
raw formation energy = 526 meV per atom
spin magnetization = 1.08 Bohr magnetons per cell
crystal system = tetragonal
E_tot = -51.792 eV/atom

CIF file:
```
data_TaHgSb2
_chemical_formula_sum 'Ta1 Hg1 Sb2'
_symmetry_space_group_name_H-M 'P 1'
_symmetry_Int_Tables_number 1
_cell_length_a 4.525
_cell_length_b 4.525
_cell_length_c 5.294
_cell_angle_alpha 115.30
_cell_angle_beta 115.30
_cell_angle_gamma 90.00
loop_
_symmetry_equiv_pos_as_xyz
'x,y,z'
loop_
_atom_site_label
_atom_site_type_symbol
_atom_site_fract_x
_atom_site_fract_y
_atom_site_fract_z
Sb1 Sb 0.250 0.750 0.500
Sb2 Sb 0.750 0.250 0.500
Hg1 Hg 0.000 0.000 0.000
Ta1 Ta 0.500 0.500 0.000
```

=====

Record 9
A crystal of Ta2HgSb relaxed with PBEsol, computed with SCAN.

Calculated values
DOS(E_F) = 0.9882 states/eV per atom
space-group type = F-43m (216)
raw formation energy = 704 meV per atom
spin magnetization = 0.00 Bohr magnetons per cell
crystal system = cubic
E_tot = -58.944 eV/atom
energy relative to the lowest polymorph listed for this composition = 418 meV/atom

CIF file:
```
data_Ta2HgSb
_chemical_formula_sum 'Ta2 Hg1 Sb1'
_symmetry_space_group_name_H-M 'P 1'
_symmetry_Int_Tables_number 1
_cell_length_a 4.814
_cell_length_b 4.814
_cell_length_c 4.814
_cell_angle_alpha 60.00
_cell_angle_beta 60.00
_cell_angle_gamma 60.00
loop_
_symmetry_equiv_pos_as_xyz
'x,y,z'
loop_
_atom_site_label
_atom_site_type_symbol
_atom_site_fract_x
_atom_site_fract_y
_atom_site_fract_z
Ta1 Ta 0.750 0.750 0.750
Ta2 Ta 0.000 0.000 0.000
Hg1 Hg 0.500 0.500 0.500
Sb1 Sb 0.250 0.250 0.250
```

=====

Record 10
A crystal of Ta2HgSb relaxed with PBEsol, computed with SCAN.

Calculated values
DOS(E_F) = 0.5940 states/eV per atom
space-group type = P4mm (99)
raw formation energy = 286 meV per atom
spin magnetization = 0.00 Bohr magnetons per cell
crystal system = tetragonal
E_tot = -59.362 eV/atom
energy relative to the lowest polymorph listed for this composition = 0 meV/atom

CIF file:
```
data_Ta2HgSb
_chemical_formula_sum 'Ta2 Hg1 Sb1'
_symmetry_space_group_name_H-M 'P 1'
_symmetry_Int_Tables_number 1
_cell_length_a 2.923
_cell_length_b 2.923
_cell_length_c 9.884
_cell_angle_alpha 90.00
_cell_angle_beta 90.00
_cell_angle_gamma 90.00
loop_
_symmetry_equiv_pos_as_xyz
'x,y,z'
loop_
_atom_site_label
_atom_site_type_symbol
_atom_site_fract_x
_atom_site_fract_y
_atom_site_fract_z
Ta1 Ta 0.000 0.000 0.015
Ta2 Ta 0.500 0.500 0.238
Sb1 Sb 0.500 0.500 0.790
Hg1 Hg 0.000 0.000 0.457
```

=====

Record 11
A crystal of TaHgSbTe2 relaxed with PBEsol, computed with SCAN.

Calculated values
DOS(E_F) = 1.1432 states/eV per atom
space-group type = P4/mmm (123)
raw formation energy = 1483 meV per atom
spin magnetization = 2.28 Bohr magnetons per cell
crystal system = tetragonal
E_tot = -47.820 eV/atom

CIF file:
```
data_TaHgSbTe2
_chemical_formula_sum 'Ta1 Hg1 Sb1 Te2'
_symmetry_space_group_name_H-M 'P 1'
_symmetry_Int_Tables_number 1
_cell_length_a 5.280
_cell_length_b 5.389
_cell_length_c 5.389
_cell_angle_alpha 90.00
_cell_angle_beta 90.00
_cell_angle_gamma 90.00
loop_
_symmetry_equiv_pos_as_xyz
'x,y,z'
loop_
_atom_site_label
_atom_site_type_symbol
_atom_site_fract_x
_atom_site_fract_y
_atom_site_fract_z
Sb1 Sb 0.500 0.000 0.000
Hg1 Hg 0.000 0.000 0.000
Te1 Te 0.000 0.000 0.500
Te2 Te 0.000 0.500 0.000
Ta1 Ta 0.500 0.500 0.500
```

=====

Record 12
A crystal of TaHgSb2Te relaxed with PBEsol, computed with SCAN.

Calculated values
DOS(E_F) = 0.7132 states/eV per atom
space-group type = P4/mmm (123)
raw formation energy = 332 meV per atom
spin magnetization = 0.00 Bohr magnetons per cell
crystal system = tetragonal
E_tot = -48.973 eV/atom

CIF file:
```
data_TaHgSb2Te
_chemical_formula_sum 'Ta1 Hg1 Sb2 Te1'
_symmetry_space_group_name_H-M 'P 1'
_symmetry_Int_Tables_number 1
_cell_length_a 5.281
_cell_length_b 5.346
_cell_length_c 5.346
_cell_angle_alpha 90.00
_cell_angle_beta 90.00
_cell_angle_gamma 90.00
loop_
_symmetry_equiv_pos_as_xyz
'x,y,z'
loop_
_atom_site_label
_atom_site_type_symbol
_atom_site_fract_x
_atom_site_fract_y
_atom_site_fract_z
Sb1 Sb 0.000 0.500 0.000
Sb2 Sb 0.000 0.000 0.500
Ta1 Ta 0.000 0.000 0.000
Hg1 Hg 0.500 0.500 0.500
Te1 Te 0.500 0.000 0.000
```